# Cs2MgH12Se2O14

A PBEsol-optimized structure of Cs2MgH12Se2O14 (SCAN, Alexandria).

Calculated values
energy = -9.350 eV/atom
calculated volume = 751 Å³ per cell

```
Cs2MgH12Se2O14
1.0
6.448 0.009 0.000
-2.556 9.052 0.000
0.000 0.000 12.866
H Se Cs O Mg
24 4 4 28 2
direct
0.318 0.205 0.905
0.910 0.266 0.370
0.090 0.234 0.870
0.665 0.101 0.940
0.078 0.774 0.407
0.013 0.653 0.317
0.682 0.295 0.405
0.987 0.347 0.683
0.922 0.226 0.593
0.683 0.476 0.638
0.090 0.734 0.630
0.318 0.705 0.595
0.335 0.399 0.440
0.682 0.795 0.095
0.317 0.524 0.362
0.078 0.274 0.093
0.683 0.976 0.862
0.013 0.153 0.183
0.317 0.024 0.138
0.910 0.766 0.130
0.665 0.601 0.560
0.922 0.726 0.907
0.335 0.899 0.060
0.987 0.847 0.817
0.740 0.397 0.856
0.260 0.603 0.144
0.260 0.103 0.356
0.740 0.897 0.644
0.343 0.133 0.650
0.343 0.633 0.850
0.657 0.867 0.350
0.657 0.367 0.150
0.838 0.343 0.391
0.038 0.643 0.186
0.801 0.047 0.570
0.006 0.330 0.607
0.285 0.990 0.065
0.409 0.078 0.255
0.411 0.742 0.073
0.591 0.422 0.755
0.285 0.490 0.435
0.162 0.657 0.609
0.962 0.857 0.686
0.199 0.453 0.070
0.589 0.258 0.927
0.962 0.357 0.814
0.162 0.157 0.891
0.199 0.953 0.430
0.715 0.010 0.935
0.006 0.830 0.893
0.838 0.843 0.109
0.994 0.170 0.107
0.411 0.242 0.427
0.715 0.510 0.565
0.409 0.578 0.245
0.589 0.758 0.573
0.591 0.922 0.745
0.801 0.547 0.930
0.994 0.670 0.393
0.038 0.143 0.314
0.000 0.500 0.500
0.000 0.000 0.000
```

# CsMn3H

A PBEsol-optimized structure of CsMn3H (SCAN, Alexandria).

Calculated values
energy = -18.181 eV/atom
calculated volume = 74 Å³ per cell

```
CsMn3H
1.0
4.195 0.000 0.000
0.000 4.195 0.000
0.000 0.000 4.195
Mn Cs H
3 1 1
direct
0.000 0.000 0.500
0.500 0.000 0.000
0.000 0.500 0.000
0.500 0.500 0.500
0.000 0.000 0.000
```

Repeat the second record exactly.
# CsMn3H

A PBEsol-optimized structure of CsMn3H (SCAN, Alexandria).

Calculated values
energy = -18.181 eV/atom
calculated volume = 74 Å³ per cell

```
CsMn3H
1.0
4.195 0.000 0.000
0.000 4.195 0.000
0.000 0.000 4.195
Mn Cs H
3 1 1
direct
0.000 0.000 0.500
0.500 0.000 0.000
0.000 0.500 0.000
0.500 0.500 0.500
0.000 0.000 0.000
```

- Which of these has the lowest calculated volume?
  CsMn3H